A geometry-optimized AlHgIr structure, computed with GGA-PBE.

Calculated values
The formation energy is 0.011 eV/atom. The total energy comes out at -4.29 eV/atom. The energy above the most stable polymorph in this dataset comes out at 17.1 kJ/mol of atoms. Its space group is F-43m.

abc: 4.3783 4.3783 4.3783
angles: 60.00 60.00 60.00
Fractional coordinates of all 3 atoms:
Al 0.0000 0.0000 0.0000
Hg 0.5000 0.5000 0.5000
Ir 0.2500 0.2500 0.2500

=====

A geometry-optimized Al2HgIr structure, computed with GGA-PBE.

Calculated values
The formation energy is -0.403 eV/atom. The total energy comes out at -4.56 eV/atom. Its space group is Pmmm.

abc: 2.8871 3.0241 8.0604
angles: 90.00 90.00 90.00
Fractional coordinates of all 4 atoms:
Al 0.0000 0.0000 0.1941
Al 0.0000 0.0000 0.8059
Hg 0.5000 0.0000 0.5000
Ir 0.5000 0.5000 0.0000

=====

A geometry-optimized Al2HgIr structure, computed with GGA-PBE.

Calculated values
The formation energy is -0.141 eV/atom. The total energy comes out at -4.30 eV/atom. Its space group is I4/mmm.

abc: 4.7553 4.7553 4.7553
angles: 128.28 128.28 76.17
Fractional coordinates of all 4 atoms:
Al 0.2500 0.7500 0.5000
Al 0.7500 0.2500 0.5000
Hg 0.0000 0.0000 0.0000
Ir 0.5000 0.5000 0.0000

=====

A geometry-optimized Al2HgIr structure, computed with GGA-PBE.

Calculated values
The formation energy is -0.220 eV/atom. The total energy comes out at -4.38 eV/atom. Its space group is Pmm2.

abc: 3.0801 3.8799 5.5352
angles: 90.00 90.00 90.00
Fractional coordinates of all 4 atoms:
Al 0.0000 0.0000 0.0000
Al 0.5000 0.5000 0.2907
Hg 0.0000 0.0000 0.5111
Ir 0.5000 0.5000 0.8453

=====

A geometry-optimized AlHg2Ir structure, computed with GGA-PBE.

Calculated values
The formation energy is -0.124 eV/atom. The total energy comes out at -3.43 eV/atom. Its space group is Immm.

abc: 7.4164 7.4164 7.4164
angles: 157.65 147.73 39.61
Fractional coordinates of all 4 atoms:
Al 0.0000 0.0000 0.0000
Hg 0.3199 0.8199 0.5000
Hg 0.6801 0.1801 0.5000
Ir 0.5000 0.5000 0.0000

=====

A geometry-optimized AlHg2Ir structure, computed with GGA-PBE.

Calculated values
The formation energy is 0.181 eV/atom. The total energy comes out at -3.12 eV/atom. Its space group is I4/mmm.

abc: 5.2737 5.2737 5.2737
angles: 135.41 135.41 64.89
Fractional coordinates of all 4 atoms:
Al 0.0000 0.0000 0.0000
Hg 0.2500 0.7500 0.5000
Hg 0.7500 0.2500 0.5000
Ir 0.5000 0.5000 0.0000

=====

A geometry-optimized AlHgIr structure, computed with GGA-PBE.

Calculated values
The formation energy is -0.166 eV/atom. The total energy comes out at -4.47 eV/atom. The energy above the most stable polymorph in this dataset comes out at 0.0 kJ/mol of atoms. Its space group is Imm2.

abc: 5.3980 5.3980 5.3980
angles: 148.02 141.45 50.93
Fractional coordinates of all 3 atoms:
Al 0.0000 0.0000 0.0000
Hg 0.2976 0.2976 0.0000
Ir 0.5981 0.5981 0.0000

=====

A geometry-optimized AlHgIr structure, computed with GGA-PBE.

Calculated values
The formation energy is -0.067 eV/atom. The total energy comes out at -4.37 eV/atom. The energy above the most stable polymorph in this dataset comes out at 9.5 kJ/mol of atoms. Its space group is P-6m2.

abc: 4.3058 4.3058 3.2120
angles: 90.00 90.00 120.00
Fractional coordinates of all 3 atoms:
Al 0.0000 0.0000 0.0000
Hg 0.6667 0.3333 0.5000
Ir 0.3333 0.6667 0.0000

=====

A geometry-optimized AlHgIr structure, computed with GGA-PBE.

Calculated values
The formation energy is -0.136 eV/atom. The total energy comes out at -4.44 eV/atom. The energy above the most stable polymorph in this dataset comes out at 2.9 kJ/mol of atoms. Its space group is I4mm.

abc: 6.1369 6.1369 6.1369
angles: 151.69 151.69 40.46
Fractional coordinates of all 3 atoms:
Al 0.0000 0.0000 0.0000
Hg 0.6985 0.6985 0.0000
Ir 0.3849 0.3849 0.0000

=====

A geometry-optimized AlHg4Ir structure, computed with GGA-PBE.

Calculated values
The formation energy is 0.743 eV/atom. The total energy comes out at -1.56 eV/atom. Its space group is F-43m.

abc: 5.6642 5.6642 5.6642
angles: 60.00 60.00 60.00
Fractional coordinates of all 6 atoms:
Al 0.0000 0.0000 0.0000
Hg 0.1262 0.6246 0.6246
Hg 0.6246 0.1262 0.6246
Hg 0.6246 0.6246 0.1262
Hg 0.6246 0.6246 0.6246
Ir 0.2500 0.2500 0.2500

=====

A geometry-optimized Al2HgIr structure, computed with GGA-PBE.

Calculated values
The formation energy is 0.160 eV/atom. The total energy comes out at -4.00 eV/atom. Its space group is F-43m.

abc: 4.5485 4.5485 4.5485
angles: 60.00 60.00 60.00
Fractional coordinates of all 4 atoms:
Al 0.0000 0.0000 0.0000
Al 0.2500 0.2500 0.2500
Hg 0.7500 0.7500 0.7500
Ir 0.5000 0.5000 0.5000

=====

A geometry-optimized AlHgIr4 structure, computed with GGA-PBE.

Calculated values
The formation energy is 0.370 eV/atom. The total energy comes out at -6.21 eV/atom. Its space group is F-43m.

abc: 5.2277 5.2277 5.2277
angles: 60.00 60.00 60.00
Fractional coordinates of all 6 atoms:
Al 0.0000 0.0000 0.0000
Hg 0.7500 0.7500 0.7500
Ir 0.3748 0.3748 0.3748
Ir 0.3748 0.3748 0.8755
Ir 0.3748 0.8755 0.3748
Ir 0.8755 0.3748 0.3748